*A*
# MgMn2BO

An optimized crystal structure of MgMn2BO (PBE+U, Alexandria via LeMat-Bulk).

a = 4.2332 Å, b = 4.4283 Å, c = 4.2332 Å
α = 90.00°, β = 90.00°, γ = 90.00°
Site moments in Bohr magnetons follow the coordinates.
Fractional coordinates of all 5 atoms:
Mg (0.0000, 0.5000, 0.0000)  -0.01
Mn (0.0000, 0.0000, 0.5000)  4.41
Mn (0.5000, 0.0000, 0.0000)  4.28
B (0.0000, 0.0000, 0.0000)  -0.30
O (0.5000, 0.5000, 0.5000)  0.18

Values from the calculation:
Symmetry: P4/mmm
Fermi-level density of states (states/eV per cell): 2.8
Total magnetic moment (μB per cell): 9.0


*B*
# MgMn2BO

An optimized crystal structure of MgMn2BO (PBE+U, Alexandria via LeMat-Bulk).

a = 4.1635 Å, b = 4.4110 Å, c = 4.1635 Å
α = 90.00°, β = 90.00°, γ = 90.00°
Site moments in Bohr magnetons follow the coordinates.
Fractional coordinates of all 5 atoms:
Mn (0.5000, 0.0000, 0.0000)  3.94
Mn (0.0000, 0.0000, 0.5000)  4.17
O (0.0000, 0.5000, 0.0000)  0.09
B (0.0000, 0.0000, 0.0000)  -0.38
Mg (0.5000, 0.5000, 0.5000)  -0.07

Values from the calculation:
Symmetry: P4/mmm
Fermi-level density of states (states/eV per cell): 2.2
Total magnetic moment (μB per cell): 7.9


Relative to the most stable structure, the computed energies are *A* 0; *B* 241, all in meV per atom.